Record 1
Here is CoReRu at its PBEsol-relaxed geometry from Alexandria via LeMat-Bulk. Energies are from SCAN.

Lattice parameters (Å, degrees): 2.6081 2.6081 6.5985 96.49 96.49 115.37
Each line ends with the local moment (μB).
Fractional positions:
Re (0.6631, 0.6631, 0.3263)  0.00
Co (0.0008, 0.0008, 0.0015)  1.88
Ru (0.3361, 0.3361, 0.6722)  0.68

Values from the calculation:
Energy above the lowest structure with this stoichiometry in eV per atom: 0.118



Record 2
Here is CoReS3 at its PBEsol-relaxed geometry from Alexandria via LeMat-Bulk. Energies are from SCAN.

Lattice parameters (Å, degrees): 4.5650 4.5650 4.5650 90.00 90.00 90.00
Each line ends with the local moment (μB).
Fractional positions:
Re (0.0000, 0.0000, 0.0000)  0.02
S (0.0000, 0.5000, 0.0000)  0.03
S (0.0000, 0.0000, 0.5000)  0.03
S (0.5000, 0.0000, 0.0000)  0.03
Co (0.5000, 0.5000, 0.5000)  2.16

Values from the calculation:
Formation energy without anion corrections in meV per atom: 710.5



Record 3
Here is CoReSbS2 at its PBEsol-relaxed geometry from Alexandria via LeMat-Bulk. Energies are from SCAN.

Lattice parameters (Å, degrees): 4.6403 5.0002 5.0002 90.00 90.00 90.00
Each line ends with the local moment (μB).
Fractional positions:
Re (0.5000, 0.5000, 0.5000)  3.82
S (0.0000, 0.0000, 0.5000)  0.06
S (0.0000, 0.5000, 0.0000)  0.06
Co (0.5000, 0.0000, 0.0000)  1.81
Sb (0.0000, 0.0000, 0.0000)  -0.03

Values from the calculation:
Formation energy without anion corrections in meV per atom: 1807.2



Record 4
Here is Co2ReSb at its PBEsol-relaxed geometry from Alexandria via LeMat-Bulk. Energies are from SCAN.

Lattice parameters (Å, degrees): 3.5715 3.8827 3.8827 90.00 90.00 90.00
Each line ends with the local moment (μB).
Fractional positions:
Re (0.5000, 0.5000, 0.5000)  0.98
Co (0.0000, 0.0000, 0.5000)  1.33
Co (0.0000, 0.5000, 0.0000)  1.33
Sb (0.5000, 0.0000, 0.0000)  -0.02

Values from the calculation:
Formation energy without anion corrections in meV per atom: 412.1



Number 1: size of the total moment 2.53 μB per cell, V 13.214 Å³ per atom. Number 2: size of the total moment 2.45 μB per cell, V 19.026 Å³ per atom. Number 3: size of the total moment 7.09 μB per cell, V 23.203 Å³ per atom. Number 4: size of the total moment 3.72 μB per cell, V 13.460 Å³ per atom.